Entry 1:
Computed, not measured: an optimized crystal structure of PaNiTe at the PBE-GGA level of DFT.

Computed properties:
Offset from the most stable computed form = 923.1 meV/atom
SG = F-43m, No. 216
E_tot = -5.5934 eV per atom

Cell lengths 4.7940, 4.7940, 4.7940 Å; angles 60.00, 60.00, 60.00 degrees
Positions (direct):
Pa: 0.0000 0.0000 0.0000
Te: 0.7500 0.7500 0.7500
Ni: 0.2500 0.2500 0.2500

Entry 2:
Computed, not measured: an optimized crystal structure of Cu2Ag3 at the PBE-GGA level of DFT.

Computed properties:
Energy of formation from the pure elements = 0.032 eV per atom
Offset from the most stable computed form = 0.0 meV/atom
SG = P4/nmm, No. 129
E_tot = -3.1491 eV per atom

Cell lengths 2.8920, 2.8920, 18.4941 Å; angles 90.00, 90.00, 90.00 degrees
Positions (direct):
Ag: 0.5000 0.0000 0.2851
Ag: 0.0000 0.5000 0.7149
Cu: 0.5000 0.0000 0.4610
Ag: 0.0000 0.5000 0.1707
Cu: 0.0000 0.5000 0.3829
Cu: 0.5000 0.0000 0.6171
Cu: 0.0000 0.5000 0.5390
Ag: 0.5000 0.0000 0.8293
Ag: 0.0000 0.5000 0.9432
Ag: 0.5000 0.0000 0.0568

Entry 3:
Computed, not measured: an optimized crystal structure of NaHfAgS3 at the PBE-GGA level of DFT.

Computed properties:
Offset from the most stable computed form = 55.6 meV/atom
SG = Pnma, No. 62
E_tot = -5.4623 eV per atom

Cell lengths 12.1597, 3.7274, 11.2501 Å; angles 90.00, 90.00, 90.00 degrees
Positions (direct):
Hf: 0.9454 0.7500 0.8357
Na: 0.1359 0.2500 0.5034
S: 0.0704 0.2500 0.9212
Hf: 0.0546 0.2500 0.1643
S: 0.5704 0.2500 0.5788
S: 0.4296 0.7500 0.4212
S: 0.7495 0.2500 0.3656
Na: 0.3641 0.7500 0.0034
S: 0.2495 0.2500 0.1344
Na: 0.8641 0.7500 0.4966
Hf: 0.4454 0.7500 0.6643
S: 0.7505 0.7500 0.8656
S: 0.9505 0.2500 0.6710
Na: 0.6359 0.2500 0.9966
S: 0.9296 0.7500 0.0788
S: 0.2505 0.7500 0.6344
S: 0.0495 0.7500 0.3290
Ag: 0.2387 0.2500 0.7948
Ag: 0.7387 0.2500 0.7052
S: 0.5495 0.7500 0.1710
S: 0.4505 0.2500 0.8290
Ag: 0.7613 0.7500 0.2052
Ag: 0.2613 0.7500 0.2948
Hf: 0.5546 0.2500 0.3357

Entry 4:
Computed, not measured: an optimized crystal structure of Pr3InHg2PtAu2 at the PBE-GGA level of DFT.

Computed properties:
SG = Amm2, No. 38
E_tot = -4.0853 eV per atom

Cell lengths 4.0378, 7.9790, 7.9790 Å; angles 120.58, 90.00, 90.00 degrees
Positions (direct):
Pt: 0.0000 0.9857 0.9857
Pr: 0.0000 0.0073 0.6042
Au: 0.5000 0.6684 0.3451
Pr: 0.0000 0.6042 0.0073
In: 0.5000 0.7486 0.7486
Au: 0.5000 0.3451 0.6684
Pr: 0.0000 0.3846 0.3846
Hg: 0.5000 0.2588 0.9971
Hg: 0.5000 0.9971 0.2588

Entry 5:
Computed, not measured: an optimized crystal structure of Er5Co2Hg at the PBE-GGA level of DFT.

Computed properties:
Energy of formation from the pure elements = -0.301 eV per atom
SG = I4/mcm, No. 140
E_tot = -4.9666 eV per atom

Cell lengths 8.4626, 8.4626, 8.4626 Å; angles 127.31, 127.31, 77.75 degrees
Positions (direct):
Er: 0.5279 0.0279 0.8216
Co: 0.1359 0.6359 0.7718
Er: 0.7064 0.5279 0.5000
Er: 0.2064 0.7064 0.1784
Er: 0.9721 0.7936 0.5000
Er: 0.7936 0.2936 0.8216
Er: 0.4721 0.9721 0.1784
Hg: 0.7500 0.7500 0.0000
Co: 0.6359 0.8641 0.5000
Co: 0.3641 0.1359 0.5000
Hg: 0.2500 0.2500 0.0000
Co: 0.8641 0.3641 0.2282
Er: 0.0279 0.2064 0.5000
Er: 0.5000 0.5000 0.0000
Er: 0.0000 0.0000 0.0000
Er: 0.2936 0.4721 0.5000

Entry 6:
Computed, not measured: an optimized crystal structure of Ba4AgIr3 at the PBE-GGA level of DFT.

Computed properties:
SG = Pm, No. 6
E_tot = -4.7699 eV per atom

Cell lengths 6.2606, 4.6039, 8.8607 Å; angles 90.00, 92.15, 90.00 degrees
Positions (direct):
Ba: 0.0965 0.5000 0.6730
Ag: 0.1160 0.0000 0.9670
Ba: 0.3985 0.5000 0.1798
Ba: 0.6197 0.0000 0.8306
Ba: 0.8898 0.0000 0.3052
Ir: 0.5544 0.5000 0.5252
Ir: 0.4393 0.0000 0.4831
Ir: 0.8859 0.5000 0.0361